A geometry-optimized MnCuAs2 structure, computed with PBE.

a b c (Å): 2.7809 2.7809 8.9807
angles (deg): 90.00 90.00 90.00
Last column: nearest neighbours and their distance in Å.
Positions (direct):
Mn 0.0000 0.0000 0.0000  4 Cu 2.67, 4 As 2.68, 4 Mn 2.78
Cu 0.5000 0.5000 0.7997  4 Mn 2.67, 4 As 2.67, 4 Cu 2.78
As 0.0000 0.0000 0.5984  4 Cu 2.67, 4 As 2.78
As 0.5000 0.5000 0.2034  4 Mn 2.68, 4 As 2.78

Values from the calculation:
Space group: No. 99

A geometry-optimized MnCuAs2 structure, computed with PBE.

a b c (Å): 6.9884 3.3658 5.7846
angles (deg): 90.00 104.67 90.00
Last column: nearest neighbours and their distance in Å.
Positions (direct):
Mn 0.0000 0.0000 0.0000  6 As 2.52-2.57
Mn 0.5000 0.5000 0.0000  6 As 2.52-2.57
Cu 0.0000 0.5000 0.5000  6 As 2.50-2.66
Cu 0.5000 0.0000 0.5000  6 As 2.50-2.66
As 0.2370 0.5000 0.2412  3 Cu 2.50-2.66, 3 Mn 2.52-2.57
As 0.2630 0.0000 0.7588  3 Cu 2.50-2.66, 3 Mn 2.52-2.57
As 0.7370 0.0000 0.2412  3 Cu 2.50-2.66, 3 Mn 2.52-2.57
As 0.7630 0.5000 0.7588  3 Cu 2.50-2.66, 3 Mn 2.52-2.57

Values from the calculation:
Space group: No. 12

A geometry-optimized MnCuAs3 structure, computed with PBE.

a b c (Å): 4.6015 4.6015 4.6015
angles (deg): 90.00 90.00 90.00
Last column: nearest neighbours and their distance in Å.
Positions (direct):
Mn 0.0000 0.0000 0.0000  6 As 2.30
Cu 0.5000 0.5000 0.5000  12 As 3.25
As 0.0000 0.0000 0.5000  2 Mn 2.30
As 0.0000 0.5000 0.0000  2 Mn 2.30
As 0.5000 0.0000 0.0000  2 Mn 2.30

Values from the calculation:
Space group: No. 221
Distance to the lowest polymorph of the same formula (meV/atom): 0

Computed M_tot (μB/f.u.) in order:
3.5; 3.0; 1.2
Computed ΔH_f (0 K) (meV/atom) in order:
135; 88; 560
Computed uncorrected energy (eV/cell) in order:
-22.03; -44.43; -24.41